1.
## CuSIO (PBE)

Data for an optimized crystal structure of CuSIO.

Results
**Symmetry**: P1, No. 1
**Fermi-level density of states**: 0.01 states/eV/cell
**M_tot**: 0.00 μB per cell
**ρ**: 4.3 Mg/m³

The structure in POSCAR format:
```
CuSIO
1.0
-1.936 -3.115 -1.750
5.035 -1.237 -2.944
4.885 -3.311 5.644
I S O Cu
2 2 2 2
direct
0.335 0.872 0.358
0.126 0.065 0.922
0.485 0.618 0.669
0.967 0.444 0.266
0.866 0.358 0.431
0.675 0.549 0.113
0.988 0.459 0.687
0.591 0.806 0.876
```



2.
## CuSIO (PBE)

Data for an optimized crystal structure of CuSIO.

Results
**Symmetry**: P1, No. 1
**Fermi-level density of states**: 0.00 states/eV/cell
**M_tot**: 0.00 μB per cell
**ρ**: 3.7 Mg/m³

The structure in POSCAR format:
```
CuSIO
1.0
6.127 -0.071 -0.143
-1.321 5.704 -0.211
0.279 -2.523 6.223
I S O Cu
2 2 2 2
direct
0.057 0.463 0.622
0.722 0.943 0.832
0.336 0.183 0.662
0.211 0.811 0.269
0.196 0.970 0.144
0.396 0.685 0.217
0.312 0.978 0.868
0.651 0.462 0.708
```



Which of them is the most stable, and which is the least stable? 1 and 2, in that order.



1.
## SrMo2W (PBE)

Data for an optimized crystal structure of SrMo2W.

Results
**Symmetry**: P4/mmm, No. 123
**Fermi-level density of states**: 4.77 states/eV/cell
**M_tot**: 0.00 μB per cell
**ρ**: 8.7 Mg/m³

The structure in POSCAR format:
```
SrMo2W
1.0
-0.046 -2.597 -2.259
3.283 0.655 -0.820
2.280 -4.709 5.367
Mo Sr W
2 1 1
direct
0.000 0.000 0.911
0.000 0.000 0.589
0.500 0.500 0.250
0.500 0.500 0.750
```



2.
## SrMo2W (PBE)

Data for an optimized crystal structure of SrMo2W.

Results
**Symmetry**: Immm, No. 71
**Fermi-level density of states**: 4.62 states/eV/cell
**M_tot**: 0.00 μB per cell
**ρ**: 9.7 Mg/m³

The structure in POSCAR format:
```
SrMo2W
1.0
-1.010 -4.680 3.079
4.642 -2.491 2.156
-3.398 4.563 -0.181
Mo Sr W
2 1 1
direct
0.028 0.028 0.000
0.472 0.472 0.000
0.750 0.250 0.500
0.250 0.750 0.500
```



Which of them is the most stable, and which is the least stable? 1 and 2, in that order.



1.
## AcHg4Pb (PBE)

Data for an optimized crystal structure of AcHg4Pb.

Results
**Symmetry**: P2_1/m, No. 11
**Fermi-level density of states**: 3.03 states/eV/cell
**M_tot**: 0.00 μB per cell
**ρ**: 12.2 Mg/m³

The structure in POSCAR format:
```
AcHg4Pb
1.0
4.994 0.000 -0.343
0.000 7.445 0.000
-1.418 0.000 9.186
Ac Hg Pb
2 8 2
direct
0.843 0.750 0.733
0.157 0.250 0.267
0.311 0.047 0.656
0.689 0.547 0.344
0.689 0.953 0.344
0.311 0.453 0.656
0.770 0.250 0.563
0.230 0.750 0.437
0.949 0.250 0.893
0.051 0.750 0.107
0.500 0.500 0.000
0.500 0.000 0.000
```



2.
## AcHg4Pb (PBE)

Data for an optimized crystal structure of AcHg4Pb.

Results
**Symmetry**: F-43m, No. 216
**Fermi-level density of states**: 3.50 states/eV/cell
**M_tot**: 0.00 μB per cell
**ρ**: 12.1 Mg/m³

The structure in POSCAR format:
```
AcHg4Pb
1.0
6.216 0.000 0.000
3.108 5.383 0.000
3.108 1.794 5.076
Pb Ac Hg
1 1 4
direct
0.000 0.000 0.000
0.250 0.250 0.250
0.626 0.626 0.123
0.626 0.123 0.626
0.626 0.626 0.626
0.123 0.626 0.626
```



Which of them is the most stable, and which is the least stable? 1 and 2, in that order.



1.
## CaSc2Cl (PBE)

Data for an optimized crystal structure of CaSc2Cl.

Results
**Symmetry**: Immm, No. 71
**Fermi-level density of states**: 3.39 states/eV/cell
**M_tot**: 0.00 μB per cell
**ρ**: 2.8 Mg/m³

The structure in POSCAR format:
```
CaSc2Cl
1.0
-3.375 5.516 0.064
-5.497 3.247 1.030
-0.334 2.366 4.825
Sc Ca Cl
2 1 1
direct
0.960 0.960 0.040
0.540 0.540 0.460
0.750 0.750 0.750
0.250 0.250 0.250
```



2.
## CaSc2Cl (PBE)

Data for an optimized crystal structure of CaSc2Cl.

Results
**Symmetry**: Amm2, No. 38
**Fermi-level density of states**: 5.34 states/eV/cell
**M_tot**: 0.64 μB per cell
**ρ**: 2.6 Mg/m³

The structure in POSCAR format:
```
CaSc2Cl
1.0
3.365 0.000 0.000
0.000 3.435 0.007
0.000 1.699 8.990
Sc Ca Cl
2 1 1
direct
0.000 0.814 0.996
0.500 0.197 0.230
0.000 0.548 0.530
0.500 0.941 0.744
```



Which of them is the most stable, and which is the least stable? 2 and 1, in that order.